The following is a PBE calculation of a relaxed FeCo2Ag crystal, from Alexandria.

abc: 2.8721 2.8518 6.9434
angles: 65.85 90.00 90.00
Site moments in Bohr magnetons follow the coordinates.
Fractional positions:
Ag: 0.5000 0.7500 0.7500  0.00
Co: 0.0000 0.9599 0.0403  1.64
Co: 0.0000 0.5401 0.4597  1.64
Fe: 0.5000 0.2500 0.2500  2.66

Energy relative to the lowest polymorph listed for this composition (eV per atom): 0.000
Crystal system: monoclinic
Energy of formation (eV per atom): 0.2151